The following is a DFT calculation (GGA+U) of crystalline Li2Mn3F8 at its relaxed geometry.

Cell: 5.9863 5.9863 5.5803 Å, 108.45 108.45 65.96°
With the nearest neighbours (Å) after each atom.
Positions (direct):
Li1 0.1720 0.1720 0.1272  4 F 1.95
Li2 0.8280 0.8280 0.8728  4 F 1.95
Mn1 0.2363 0.7637 0.5000  6 F 2.12-2.22
Mn2 0.5000 0.5000 0.0000  6 F 2.14-2.20
Mn3 0.7637 0.2363 0.5000  6 F 2.12-2.22
F1 0.1175 0.1175 0.7536  1 Li 1.95, 2 Mn 2.12
F2 0.1406 0.6351 0.7551  1 Li 1.95, 2 Mn 2.13-2.14
F3 0.3649 0.8594 0.2449  1 Li 1.95, 2 Mn 2.13-2.14
F4 0.3819 0.3819 0.2619  1 Li 1.95
F5 0.6181 0.6181 0.7381  1 Li 1.95
F6 0.6351 0.1406 0.7551  1 Li 1.95, 2 Mn 2.13-2.14
F7 0.8594 0.3649 0.2449  1 Li 1.95, 2 Mn 2.13-2.14
F8 0.8825 0.8825 0.2464  1 Li 1.95, 2 Mn 2.12

Summary:
Calculated total energy, Ry/atom: -0.43325
Polymorph energy (0 for the lowest one), eV/atom: 0.0271
Mass density, Mg/m³: 3.2